[1]
Compound: Os4C
Source: Alexandria
Functional: GGA-PBE
Structure: relaxed

Structure (CIF):
```
data_Os4C
_cell_length_a 4.869
_cell_length_b 2.811
_cell_length_c 9.424
_cell_angle_alpha 90.00
_cell_angle_beta 100.07
_cell_angle_gamma 90.00
_space_group_name_H-M_alt 'C 1 2/m 1'
_space_group_IT_number 12
loop_
_space_group_symop_operation_xyz
'x,y,z'
'-x,-y,-z'
'-x,y,-z'
'x,-y,z'
'x+1/2,y+1/2,z'
'-x+1/2,-y+1/2,-z'
'-x+1/2,y+1/2,-z'
'x+1/2,-y+1/2,z'
loop_
_atom_site_label
_atom_site_type_symbol
_atom_site_fract_x
_atom_site_fract_y
_atom_site_fract_z
Os1 Os 0.128 0.000 0.384
Os2 Os 0.215 0.500 0.151
C1 C 0.000 0.000 0.000
```

- total DFT energy (no corrections) (eV/cell) = -103.76
- energy of formation (eV/atom) = 0.452
- ΔE to the lowest computed polymorph (eV/atom) = 0.000



[2]
Compound: OsC4
Source: Alexandria
Functional: GGA-PBE
Structure: relaxed

Structure (CIF):
```
data_OsC4
_cell_length_a 2.7424
_cell_length_b 2.7424
_cell_length_c 6.2021
_cell_angle_alpha 90.00
_cell_angle_beta 90.00
_cell_angle_gamma 120.00
_space_group_name_H-M_alt 'P -3 m 1'
_space_group_IT_number 164
_space_group_name_Hall '-P 3 2"'
loop_
_atom_site_label
_atom_site_type_symbol
_atom_site_fract_x
_atom_site_fract_y
_atom_site_fract_z
Os1 Os 0.0000 0.0000 0.0000
C1 C 0.3333 0.6667 0.2191
C2 C 0.3333 0.6667 0.4570
```

- total DFT energy (no corrections) (eV/cell) = -44.31
- energy of formation (eV/atom) = 0.763
- ΔE to the lowest computed polymorph (eV/atom) = 0.000



[3]
Compound: Os5C3
Source: Alexandria
Functional: GGA-PBE
Structure: relaxed

Structure (CIF):
```
data_Os5C3
_cell_length_a 6.149
_cell_length_b 8.898
_cell_length_c 3.494
_cell_angle_alpha 90.00
_cell_angle_beta 90.00
_cell_angle_gamma 90.00
_space_group_name_H-M_alt 'C m m m'
_space_group_IT_number 65
_space_group_name_Hall '-C 2 2'
loop_
_atom_site_label
_atom_site_type_symbol
_atom_site_fract_x
_atom_site_fract_y
_atom_site_fract_z
Os1 Os 0.000 0.000 0.000
Os2 Os 0.204 0.500 0.500
Os3 Os 0.250 0.250 0.000
C1 C 0.000 0.305 0.500
C2 C 0.000 0.500 0.000
```

- total DFT energy (no corrections) (eV/cell) = -143.56
- energy of formation (eV/atom) = 1.505
- ΔE to the lowest computed polymorph (eV/atom) = 0.645